1.
{"formula": "PmDySn3", "functional": "PBE", "state": "optimized geometry", "cell": [[-0.5157, 1.6007, 4.0346], [1.2315, -5.9740, 2.5275], [9.7133, 2.1644, 0.3829]], "species": ["Pm", "Pm", "Dy", "Dy", "Sn", "Sn", "Sn", "Sn", "Sn", "Sn"], "fractional_positions": [[0.7500, 0.2500, 0.1144], [0.2500, 0.7500, 0.8856], [0.7500, 0.7500, 0.4546], [0.2500, 0.2500, 0.5454], [0.7500, 0.7500, 0.1317], [0.2500, 0.2500, 0.8683], [0.7500, 0.0071, 0.7168], [0.7500, 0.4929, 0.7168], [0.2500, 0.9929, 0.2832], [0.2500, 0.5071, 0.2832]], "delta_e_f_ev_per_atom": -0.544, "dos_ef_per_ev_cell": 5.0, "space_group": "No. 59", "dft_energy_ev_per_cell": -48.17}



2.
{"formula": "PmDy2Sn", "functional": "PBE", "state": "optimized geometry", "cell": [[3.7769, 0.0000, 0.0000], [0.0000, 3.7769, 0.0000], [0.0000, 0.0000, 8.4573]], "species": ["Dy", "Dy", "Sn", "Pm"], "fractional_positions": [[0.0000, 0.0000, 0.7166], [0.0000, 0.0000, 0.2834], [0.5000, 0.5000, 0.5000], [0.5000, 0.5000, 0.0000]], "delta_e_f_ev_per_atom": -0.301, "dos_ef_per_ev_cell": 5.3, "e_above_lowest_polymorph_mev_per_atom": 125, "space_group": "No. 123", "dft_energy_ev_per_cell": -19.16}